3
Lattice="3.0387 0.0245 0.0000 -1.4767 2.6558 0.0000 -0.7810 -1.3402 6.1256" Properties=species:S:1:pos:R:3 comment="MnAlCl GGA-PBEsol optimized geometry" m_tot_mub_per_fu=3.44 energy_ha_per_atom=-0.19223 formation_energy_uncorrected_ev_per_fu=0.17 dos_at_fermi_per_ev_atom=0.360 pbc="T T T"
Mn 0.0000 0.0000 4.0623
Al 0.7810 1.3402 5.9918
Cl 0.7810 1.3402 2.1971

---

8
Lattice="-0.5127 0.0489 3.6368 -4.2341 -0.5975 -0.5889 2.6655 -5.3913 0.4482" Properties=species:S:1:pos:R:3 comment="GdHO2 GGA-PBEsol optimized geometry" m_tot_mub_per_fu=7.00 energy_ha_per_atom=-0.35606 dos_at_fermi_per_ev_atom=0.000 pbc="T T T"
Gd -1.2857 -1.1908 2.6171
Gd -0.7956 -4.7492 0.8791
H -3.0320 -3.6484 2.4039
H 0.9507 -2.2915 1.0923
O -3.4943 -0.6793 2.2988
O 1.4130 -5.2607 1.1973
O -2.0859 -3.4369 2.5344
O 0.0046 -2.5030 0.9617

---

4
Lattice="4.0968 0.0000 0.0000 2.0484 3.5479 0.0000 2.0484 1.1826 7.7939" Properties=species:S:1:pos:R:3 comment="La2RhBr GGA-PBEsol optimized geometry" m_tot_mub_per_fu=0.00 energy_ha_per_atom=-0.23195 formation_energy_uncorrected_ev_per_fu=-4.55 dos_at_fermi_per_ev_atom=0.257 pbc="T T T"
Rh 4.0968 2.3653 3.8970
Br 0.0000 0.0000 0.0000
La 6.1452 3.5479 5.4534
La 2.0484 1.1826 2.3406